DFT (PBE) results for PuPaBiO2 after structural relaxation.

Output
The value obtained for the density of states at the Fermi level is 9.59 states/eV/cell. The calculation puts the formation energy (no corrections) at -2.3209 eV per atom. The electronic total energy comes out at -9.85 eV per atom.

Cell: 3.984 3.984 6.930 Å, 106.70 106.70 90.00°
Site moments in Bohr magnetons follow the coordinates.
Fractional coordinates of all 5 atoms:
O 0.757 0.257 0.513  -0.06
O 0.257 0.757 0.513  -0.06
Pu 0.149 0.149 0.297  5.27
Pa 0.841 0.841 0.682  0.68
Bi 0.497 0.497 0.994  -0.14

=====

DFT (PBE) results for Rb2Pa3BiO12 after structural relaxation.

Output
The value obtained for the density of states at the Fermi level is 17.49 states/eV/cell. The calculation puts the formation energy (no corrections) at -2.4757 eV per atom. The electronic total energy comes out at -7.69 eV per atom.

Cell: 8.030 8.030 8.030 Å, 60.41 60.41 60.41°
Fractional coordinates of all 18 atoms:
O 0.684 0.684 0.075
O 0.936 0.936 0.314
O 0.316 0.316 0.925
O 0.684 0.075 0.684
O 0.316 0.925 0.316
O 0.064 0.686 0.064
O 0.686 0.064 0.064
O 0.936 0.314 0.936
O 0.064 0.064 0.686
O 0.925 0.316 0.316
O 0.075 0.684 0.684
O 0.314 0.936 0.936
Bi 0.000 0.000 0.000
Pa 0.500 0.000 0.000
Pa 0.000 0.000 0.500
Pa 0.000 0.500 0.000
Rb 0.387 0.387 0.387
Rb 0.613 0.613 0.613

=====

DFT (PBE) results for RbPa2BiO8 after structural relaxation.

Output
The calculation puts the formation energy (no corrections) at -2.4403 eV per atom. The electronic total energy comes out at -7.73 eV per atom.

Cell: 5.257 5.249 7.247 Å, 90.00 90.00 87.89°
Fractional coordinates of all 12 atoms:
Rb 0.000 0.000 0.500
O 0.212 0.785 0.797
O 0.695 0.698 0.000
O 0.343 0.338 0.500
O 0.657 0.662 0.500
O 0.788 0.215 0.797
O 0.212 0.785 0.203
O 0.305 0.302 0.000
O 0.788 0.215 0.203
Pa 0.500 0.500 0.251
Pa 0.500 0.500 0.749
Bi 0.000 0.000 0.000

=====

DFT (PBE) results for RbPa2Bi2O7 after structural relaxation.

Output
The value obtained for the density of states at the Fermi level is 2.32 states/eV/cell. The calculation puts the formation energy (no corrections) at -2.4700 eV per atom. The electronic total energy comes out at -7.67 eV per atom.

Cell: 4.330 4.412 13.579 Å, 108.50 99.23 90.00°
Fractional coordinates of all 12 atoms:
O 0.083 0.661 0.165
O 0.500 0.500 0.000
O 0.408 0.821 0.817
O 0.917 0.339 0.835
O 0.676 0.842 0.350
O 0.592 0.179 0.183
O 0.324 0.158 0.650
Pa 0.587 0.670 0.174
Pa 0.413 0.330 0.826
Bi 0.703 0.401 0.407
Bi 0.297 0.599 0.593
Rb 0.000 0.000 0.000